# Ta6TcMo5 | the Alexandria database | PBE-GGA | relaxed
# Calculated density   13.75 g/cm3
# E_form   -0.26 eV/atom
data_Ta6TcMo5
_chemical_formula_sum 'Ta12 Tc2 Mo10'
_cell_length_a 4.549
_cell_length_b 6.443
_cell_length_c 13.707
_cell_angle_alpha 90.00
_cell_angle_beta 90.00
_cell_angle_gamma 90.00
_symmetry_space_group_name_H-M 'I m m m'
_symmetry_Int_Tables_number 71
_symmetry_space_group_name_Hall '-I 2 2'
loop_
_atom_site_label
_atom_site_type_symbol
_atom_site_fract_x
_atom_site_fract_y
_atom_site_fract_z
Ta1 Ta 0.000 0.249 0.000
Ta2 Ta 0.000 0.251 0.334
Tc1 Tc 0.000 0.500 0.500
Mo1 Mo 0.000 0.000 0.166
Mo2 Mo 0.000 0.000 0.500
Mo3 Mo 0.000 0.500 0.166